No. 1
First-principles (GGA-PBE) data for Zr4HgPb after structural relaxation, as listed in Alexandria via LeMat-Bulk.

Cell: 3.674 5.701 7.739 Å, 106.18 76.27 71.21°
Element x y z (fractional)
Pb 0.500 0.500 0.500
Zr 0.825 0.511 0.838
Zr 0.175 0.489 0.162
Zr 0.661 0.007 0.672
Zr 0.339 0.993 0.328
Hg 0.000 0.000 0.000

Output
As for the density of states at the Fermi level: 4.33 states/eV per cell. The value obtained for the total moment is 0.0 μB per formula unit. The energy above the most stable polymorph in this dataset comes out at 0.0 meV/atom. Its symmetry is C2/m, No. 12. The energy of formation from the pure elements is -0.151 eV/atom.

***

No. 2
First-principles (GGA-PBE) data for Sm2P3Pt6 after structural relaxation, as listed in Alexandria via LeMat-Bulk.

Cell: 4.142 7.387 7.387 Å, 120.00 90.00 90.00°
Element x y z (fractional)
P 0.500 0.000 0.637
P 0.500 0.637 0.000
P 0.500 0.363 0.363
Pt 0.500 0.323 0.000
Pt 0.000 0.000 0.787
Pt 0.500 0.677 0.677
Pt 0.000 0.213 0.213
Pt 0.500 0.000 0.323
Pt 0.000 0.787 0.000
Sm 0.000 0.333 0.667
Sm 0.000 0.667 0.333

Output
As for the density of states at the Fermi level: 3.83 states/eV per cell. The value obtained for the total moment is 0.0 μB per formula unit. The energy above the most stable polymorph in this dataset comes out at 26.0 meV/atom. Its symmetry is P-62m, No. 189. The energy of formation from the pure elements is -0.969 eV/atom.

***

No. 3
First-principles (GGA-PBE) data for Ac14LaY after structural relaxation, as listed in Alexandria via LeMat-Bulk.

Cell: 7.899 7.899 11.257 Å, 90.00 90.00 90.00°
Element x y z (fractional)
Ac 0.624 0.376 0.754
Ac 0.624 0.376 0.246
Ac 0.374 0.124 0.500
Ac 0.874 0.624 0.000
Ac 0.875 0.125 0.500
Ac 0.376 0.126 0.000
Ac 0.126 0.874 0.244
Ac 0.126 0.376 0.245
Ac 0.126 0.874 0.756
Ac 0.375 0.625 0.500
Ac 0.126 0.376 0.755
Ac 0.624 0.874 0.245
Ac 0.876 0.626 0.500
Ac 0.624 0.874 0.755
La 0.875 0.125 0.000
Y 0.375 0.625 0.000

Output
As for the density of states at the Fermi level: 30.11 states/eV per cell. The value obtained for the total moment is 0.0 μB per formula unit. Its symmetry is Amm2, No. 38. The energy of formation from the pure elements is 0.022 eV/atom.

***

Question: Among the records above, which one has the highest energy of formation from the pure elements?
Answer: Ac14LaY

***

Question: What is the formula in the third record?
Answer: Ac14LaY